The following is a DFT calculation (PBE with a Hubbard U) of crystalline Ca2TlVO at its relaxed geometry.

```
data_Ca2TlVO
_chemical_formula_sum 'Ca2 Tl1 V1 O1'
_symmetry_space_group_name_H-M 'P 4/m m m'
_symmetry_Int_Tables_number 123
_symmetry_space_group_name_Hall '-P 4 2'
_cell_length_a 4.6106
_cell_length_b 4.6106
_cell_length_c 5.6469
_cell_angle_alpha 90.00
_cell_angle_beta 90.00
_cell_angle_gamma 90.00
loop_
_atom_site_label
_atom_site_fract_x
_atom_site_fract_y
_atom_site_fract_z
_atom_site_occupancy
Ca1 0.0000 0.5000 0.0000 1
Tl1 0.0000 0.0000 0.5000 1
V1 0.5000 0.5000 0.5000 1
O1 0.0000 0.0000 0.0000 1
```

Calculated values
**Mass density**: 4.9 Mg/m³
**E**: -21.7 eV for the cell shown